First-principles (PBE with a Hubbard U) data for a geometry-optimized MnTeRuO6 structure, as listed in the Alexandria database.

Calculated total energy ... -6.64 eV per atom
Mass density ... 5673 kg/m³
Symmetry ... P-31c (163)
N(E_F) ... 2.80 states/eV/cell

Geometry as POSCAR:
```
MnTeRuO6
1.0
5.2412 0.0000 0.0000
-2.6206 4.5390 0.0000
0.0000 0.0000 9.3416
O Te Mn Ru
12 2 2 2
Cartesian
1.8600 0.0018 1.2725 O
-1.6890 2.9290 8.0691 O
-0.9284 1.6118 5.9433 O
0.9285 1.6118 8.0691 O
-0.7605 4.5372 5.9433 O
4.3096 1.6099 1.2725 O
1.6890 2.9290 5.9433 O
3.5490 2.9272 3.3983 O
1.6921 2.9272 1.2725 O
3.3811 0.0018 3.3983 O
0.9316 1.6099 3.3983 O
0.7605 4.5372 8.0691 O
2.6206 1.5130 2.3354 Te
0.0000 3.0260 7.0062 Te
0.0000 0.0000 0.0000 Mn
0.0000 0.0000 4.6708 Mn
2.6206 1.5130 7.0062 Ru
0.0000 3.0260 2.3354 Ru
```